VASP calculation (PBE) on a geometry-optimized In3Pt structure.

Values from the calculation:
**E_tot**: -3.6294 eV/atom
**Energy of formation from the pure elements**: -0.065 eV per atom

abc: 6.995 6.995 8.687
angles: 90.00 90.00 120.00
Positions (direct):
In  0.151  0.849  0.750
In  0.849  0.697  0.250
Pt  0.000  0.000  0.500
In  0.500  0.500  0.500
In  0.849  0.151  0.250
In  0.697  0.849  0.750
In  0.500  0.000  0.500
In  0.500  0.000  0.000
Pt  0.000  0.000  0.000
In  0.000  0.500  0.000
In  0.500  0.500  0.000
Pt  0.667  0.333  0.750
In  0.000  0.500  0.500
Pt  0.333  0.667  0.250
In  0.151  0.303  0.750
In  0.303  0.151  0.250

---

VASP calculation (PBE) on a geometry-optimized InPt4 structure.

Values from the calculation:
**E_tot**: -3.9626 eV/atom
**Energy above the lowest structure with this stoichiometry**: 1.6650 eV per atom
**Energy of formation from the pure elements**: 1.418 eV per atom

abc: 4.869 4.869 4.869
angles: 90.00 90.00 90.00
Positions (direct):
In  0.500  0.500  0.500
Pt  0.000  0.000  0.000
Pt  0.500  0.500  0.000
Pt  0.500  0.000  0.500
Pt  0.000  0.500  0.500

---

VASP calculation (PBE) on a geometry-optimized In2Pt structure.

Values from the calculation:
**E_tot**: -4.0538 eV/atom
**Energy of formation from the pure elements**: -0.215 eV per atom

abc: 6.399 6.399 6.399
angles: 150.17 150.17 42.70
Positions (direct):
Pt  0.333  0.333  0.000
In  0.691  0.691  0.000
In  0.976  0.976  0.000